A plane-wave DFT calculation with PBE-GGA was carried out for a relaxed structure of SiBiC3.

The space group is Pm-3m (No. 221) and the conventional cell measures 3.928, 3.928 and 3.928 Å, with angles of 90.00, 90.00 and 90.00 degrees. Symmetry generates all atoms from Si at (0.000, 0.000, 0.000), Bi at (0.500, 0.500, 0.500) and C at (0.000, 0.000, 0.500).

The formation energy (no corrections) is 9.49 eV per formula unit. The calculation puts the relative energy among the computed polymorphs at 0 meV per atom. The spin magnetization is 0.00 μB per atom. Its density of states at the Fermi level is 3.6 states/eV per cell.